VASP calculation (PBE with a Hubbard U) on NbFe2O after structural relaxation.

a b c (Å): 5.9086 5.9086 7.5708
angles (deg): 90.00 90.00 90.00
With the nearest neighbours (Å) after each atom.
Space group I-42d (No. 122)
Asymmetric unit:
Nb 0.0000 0.0000 0.0000 x4  4 Fe 2.73
Fe 0.1459 0.2500 0.6250 x8  2 O 1.95
O 0.0000 0.0000 0.5000 x4  4 Fe 1.95

## Properties
Density, g/cm3: 5.54
Total energy, Ha/atom: -0.232